The following is a PBE calculation of AlTc2Os after structural relaxation, from Alexandria.

SG: No. 216
Total DFT energy (no corrections), eV for the cell shown: -36.0
DOS(E_F), states/eV per atom: 0.76

Cell: 4.330 4.330 4.330 Å, 60.00 60.00 60.00°
Fractional positions:
Os 0.750 0.750 0.750
Tc 0.000 0.000 0.000
Tc 0.250 0.250 0.250
Al 0.500 0.500 0.500

The following is a PBE calculation of La2TlInRh after structural relaxation, from Alexandria.

SG: No. 123
Total DFT energy (no corrections), eV for the cell shown: -24.8
Polymorph energy (0 for the lowest one), meV/atom: 0
DOS(E_F), states/eV per atom: 0.89

Cell: 5.472 5.472 5.195 Å, 90.00 90.00 90.00°
Fractional positions:
Tl 0.500 0.500 0.500
In 0.000 0.000 0.500
Rh 0.000 0.000 0.000
La 0.000 0.500 0.000
La 0.500 0.000 0.000

The following is a PBE calculation of CeMn2P2C after structural relaxation, from Alexandria.

SG: No. 123
Total DFT energy (no corrections), eV for the cell shown: -47.9
DOS(E_F), states/eV per atom: 1.12

Cell: 3.874 3.874 5.195 Å, 90.00 90.00 90.00°
Fractional positions:
Ce 0.000 0.000 0.500
Mn 0.500 0.000 0.000
Mn 0.000 0.500 0.000
P 0.500 0.500 0.729
P 0.500 0.500 0.271
C 0.000 0.000 0.000

The following is a PBE calculation of HfSbTe2C after structural relaxation, from Alexandria.

SG: No. 123
Total DFT energy (no corrections), eV for the cell shown: -22.6
Uncorrected formation energy, meV per atom: 1402
Polymorph energy (0 for the lowest one), meV/atom: 595
DOS(E_F), states/eV per atom: 1.34

Cell: 5.494 5.494 5.576 Å, 90.00 90.00 90.00°
Fractional positions:
Sb 0.000 0.000 0.500
C 0.500 0.500 0.500
Te 0.000 0.500 0.000
Te 0.500 0.000 0.000
Hf 0.000 0.000 0.000

- The lowest total DFT energy (no corrections) belongs to which entry?
  CeMn2P2C

- What is the formula in the first record?
  AlTc2Os

- Which formula does entry 1 have?
  AlTc2Os